(1)
# PBE Tc2OsAu, relaxed
# - E_form (meV per atom) = 211
# - volume (A^3/atom) = 15.282
data_Tc2OsAu
_chemical_formula_sum 'Tc2 Os1 Au1'
_cell_length_a 2.7787
_cell_length_b 3.9520
_cell_length_c 5.5664
_cell_angle_alpha 90.00
_cell_angle_beta 90.00
_cell_angle_gamma 90.00
_symmetry_space_group_name_H-M 'P m m m'
_symmetry_Int_Tables_number 47
loop_
_symmetry_equiv_pos_as_xyz
'x,y,z'
'-x,-y,-z'
'-x,-y,z'
'x,y,-z'
'x,-y,-z'
'-x,y,z'
'-x,y,-z'
'x,-y,z'
loop_
_atom_site_label
_atom_site_type_symbol
_atom_site_fract_x
_atom_site_fract_y
_atom_site_fract_z
Tc1 Tc 0.0000 0.0000 0.2240
Os1 Os 0.5000 0.5000 0.0000
Au1 Au 0.5000 0.5000 0.5000

=====

(2)
# PBE Tc2OsAu, relaxed
# - E_form (meV per atom) = 213
# - volume (A^3/atom) = 15.280
data_Tc2OsAu
_chemical_formula_sum 'Tc2 Os1 Au1'
_cell_length_a 2.7521
_cell_length_b 2.7521
_cell_length_c 8.0698
_cell_angle_alpha 90.00
_cell_angle_beta 90.00
_cell_angle_gamma 90.00
_symmetry_space_group_name_H-M 'P 4/m m m'
_symmetry_Int_Tables_number 123
_symmetry_space_group_name_Hall '-P 4 2'
loop_
_atom_site_label
_atom_site_type_symbol
_atom_site_fract_x
_atom_site_fract_y
_atom_site_fract_z
Tc1 Tc 0.0000 0.0000 0.2330
Os1 Os 0.5000 0.5000 0.0000
Au1 Au 0.5000 0.5000 0.5000

=====

(3)
# PBE Tc2OsAu, relaxed
# - E_form (meV per atom) = 312
# - volume (A^3/atom) = 15.101
data_Tc2OsAu
_chemical_formula_sum 'Tc4 Os2 Au2'
_cell_length_a 5.4908
_cell_length_b 7.8538
_cell_length_c 2.8015
_cell_angle_alpha 90.00
_cell_angle_beta 90.00
_cell_angle_gamma 90.00
_symmetry_space_group_name_H-M 'C m m m'
_symmetry_Int_Tables_number 65
_symmetry_space_group_name_Hall '-C 2 2'
loop_
_atom_site_label
_atom_site_type_symbol
_atom_site_fract_x
_atom_site_fract_y
_atom_site_fract_z
Tc1 Tc 0.2500 0.2500 0.0000
Os1 Os 0.0000 0.0000 0.5000
Au1 Au 0.0000 0.5000 0.5000

=====

(4)
# PBE TcOsAu2, relaxed
# - E_form (meV per atom) = 538
# - volume (A^3/atom) = 15.989
data_TcOsAu2
_chemical_formula_sum 'Tc2 Os2 Au4'
_cell_length_a 9.4946
_cell_length_b 2.8106
_cell_length_c 4.8644
_cell_angle_alpha 90.00
_cell_angle_beta 99.81
_cell_angle_gamma 90.00
_symmetry_space_group_name_H-M 'C 1 2/m 1'
_symmetry_Int_Tables_number 12
loop_
_symmetry_equiv_pos_as_xyz
'x,y,z'
'-x,-y,-z'
'-x,y,-z'
'x,-y,z'
'x+1/2,y+1/2,z'
'-x+1/2,-y+1/2,-z'
'-x+1/2,y+1/2,-z'
'x+1/2,-y+1/2,z'
loop_
_atom_site_label
_atom_site_type_symbol
_atom_site_fract_x
_atom_site_fract_y
_atom_site_fract_z
Tc1 Tc 0.0000 0.0000 0.0000
Os1 Os 0.0000 0.5000 0.5000
Au1 Au 0.2498 0.0000 0.7505

=====

(5)
# PBE TcOsAu2, relaxed
# - E_form (meV per atom) = 673
# - volume (A^3/atom) = 16.373
data_TcOsAu2
_chemical_formula_sum 'Tc2 Os2 Au4'
_cell_length_a 2.8099
_cell_length_b 4.7101
_cell_length_c 9.8972
_cell_angle_alpha 90.00
_cell_angle_beta 90.00
_cell_angle_gamma 90.00
_symmetry_space_group_name_H-M 'C m m m'
_symmetry_Int_Tables_number 65
_symmetry_space_group_name_Hall '-C 2 2'
loop_
_atom_site_label
_atom_site_type_symbol
_atom_site_fract_x
_atom_site_fract_y
_atom_site_fract_z
Tc1 Tc 0.0000 0.0000 0.0000
Os1 Os 0.0000 0.0000 0.5000
Au1 Au 0.0000 0.5000 0.2489

=====

(6)
# PBE Tc2OsAu, relaxed
# - E_form (meV per atom) = 380
# - volume (A^3/atom) = 15.130
data_Tc2OsAu
_chemical_formula_sum 'Tc2 Os1 Au1'
_cell_length_a 4.7766
_cell_length_b 2.7938
_cell_length_c 4.8113
_cell_angle_alpha 90.00
_cell_angle_beta 109.51
_cell_angle_gamma 90.00
_symmetry_space_group_name_H-M 'P 1 2/m 1'
_symmetry_Int_Tables_number 10
loop_
_symmetry_equiv_pos_as_xyz
'x,y,z'
'-x,-y,-z'
'-x,y,-z'
'x,-y,z'
loop_
_atom_site_label
_atom_site_type_symbol
_atom_site_fract_x
_atom_site_fract_y
_atom_site_fract_z
Tc1 Tc 0.0000 0.0000 0.0000
Tc2 Tc 0.5000 0.5000 0.0000
Os1 Os 0.0000 0.5000 0.5000
Au1 Au 0.5000 0.0000 0.5000

=====

(7)
# PBE TcOsAu2, relaxed
# - E_form (meV per atom) = 635
# - volume (A^3/atom) = 16.030
data_TcOsAu2
_chemical_formula_sum 'Tc1 Os1 Au2'
_cell_length_a 2.8450
_cell_length_b 4.1870
_cell_length_c 5.3829
_cell_angle_alpha 90.00
_cell_angle_beta 90.00
_cell_angle_gamma 90.00
_symmetry_space_group_name_H-M 'P m m m'
_symmetry_Int_Tables_number 47
loop_
_symmetry_equiv_pos_as_xyz
'x,y,z'
'-x,-y,-z'
'-x,-y,z'
'x,y,-z'
'x,-y,-z'
'-x,y,z'
'-x,y,-z'
'x,-y,z'
loop_
_atom_site_label
_atom_site_type_symbol
_atom_site_fract_x
_atom_site_fract_y
_atom_site_fract_z
Tc1 Tc 0.0000 0.0000 0.0000
Os1 Os 0.0000 0.0000 0.5000
Au1 Au 0.5000 0.5000 0.2495

=====

(8)
# PBE Tc2OsAu, relaxed
# - E_form (meV per atom) = 356
# - volume (A^3/atom) = 15.087
data_Tc2OsAu
_chemical_formula_sum 'Tc4 Os2 Au2'
_cell_length_a 3.8779
_cell_length_b 3.8779
_cell_length_c 8.0257
_cell_angle_alpha 90.00
_cell_angle_beta 90.00
_cell_angle_gamma 90.00
_symmetry_space_group_name_H-M 'I 4/m m m'
_symmetry_Int_Tables_number 139
_symmetry_space_group_name_Hall '-I 4 2'
loop_
_atom_site_label
_atom_site_type_symbol
_atom_site_fract_x
_atom_site_fract_y
_atom_site_fract_z
Tc1 Tc 0.0000 0.5000 0.2500
Os1 Os 0.0000 0.0000 0.0000
Au1 Au 0.0000 0.0000 0.5000

=====

(9)
# PBE TcOsAu2, relaxed
# - E_form (meV per atom) = 399
# - volume (A^3/atom) = 16.633
data_TcOsAu2
_chemical_formula_sum 'Tc2 Os2 Au4'
_cell_length_a 2.8385
_cell_length_b 4.7261
_cell_length_c 9.9190
_cell_angle_alpha 90.00
_cell_angle_beta 90.00
_cell_angle_gamma 90.00
_symmetry_space_group_name_H-M 'C m m 2'
_symmetry_Int_Tables_number 35
loop_
_symmetry_equiv_pos_as_xyz
'x,y,z'
'-x,-y,z'
'-x,y,z'
'x,-y,z'
'x+1/2,y+1/2,z'
'-x+1/2,-y+1/2,z'
'-x+1/2,y+1/2,z'
'x+1/2,-y+1/2,z'
loop_
_atom_site_label
_atom_site_type_symbol
_atom_site_fract_x
_atom_site_fract_y
_atom_site_fract_z
Tc1 Tc 0.0000 0.0000 0.0000
Os1 Os 0.0000 0.5000 0.2140
Au1 Au 0.0000 0.0000 0.4747
Au2 Au 0.0000 0.5000 0.7419

=====

(10)
# PBE TcOs4Au, relaxed
# - E_form (meV per atom) = 799
# - volume (A^3/atom) = 15.951
data_TcOs4Au
_chemical_formula_sum 'Tc4 Os16 Au4'
_cell_length_a 7.2610
_cell_length_b 7.2610
_cell_length_c 7.2610
_cell_angle_alpha 90.00
_cell_angle_beta 90.00
_cell_angle_gamma 90.00
_symmetry_space_group_name_H-M 'F -4 3 m'
_symmetry_Int_Tables_number 216
_symmetry_space_group_name_Hall 'F -4 2 3'
loop_
_atom_site_label
_atom_site_type_symbol
_atom_site_fract_x
_atom_site_fract_y
_atom_site_fract_z
Tc1 Tc 0.0000 0.0000 0.0000
Os1 Os 0.1251 0.1251 0.3749
Au1 Au 0.2500 0.2500 0.7500

=====

(11)
# PBE TcOsAu2, relaxed
# - E_form (meV per atom) = 552
# - volume (A^3/atom) = 16.012
data_TcOsAu2
_chemical_formula_sum 'Tc3 Os3 Au6'
_cell_length_a 2.8087
_cell_length_b 2.8087
_cell_length_c 28.1238
_cell_angle_alpha 90.00
_cell_angle_beta 90.00
_cell_angle_gamma 120.00
_symmetry_space_group_name_H-M 'R -3 m'
_symmetry_Int_Tables_number 166
_symmetry_space_group_name_Hall '-R 3 2"'
loop_
_atom_site_label
_atom_site_type_symbol
_atom_site_fract_x
_atom_site_fract_y
_atom_site_fract_z
Tc1 Tc 0.0000 0.0000 0.0000
Os1 Os 0.0000 0.0000 0.5000
Au1 Au 0.0000 0.0000 0.2505

=====

(12)
# PBE TcOsAu2, relaxed
# - E_form (meV per atom) = 763
# - volume (A^3/atom) = 16.081
data_TcOsAu2
_chemical_formula_sum 'Tc4 Os4 Au8'
_cell_length_a 6.3603
_cell_length_b 6.3603
_cell_length_c 6.3603
_cell_angle_alpha 90.00
_cell_angle_beta 90.00
_cell_angle_gamma 90.00
_symmetry_space_group_name_H-M 'F m -3 m'
_symmetry_Int_Tables_number 225
_symmetry_space_group_name_Hall '-F 4 2 3'
loop_
_atom_site_label
_atom_site_type_symbol
_atom_site_fract_x
_atom_site_fract_y
_atom_site_fract_z
Tc1 Tc 0.0000 0.0000 0.0000
Os1 Os 0.0000 0.0000 0.5000
Au1 Au 0.2500 0.2500 0.2500

=====

(13)
# PBE TcOsAu2, relaxed
# - E_form (meV per atom) = 1140
# - volume (A^3/atom) = 17.909
data_TcOsAu2
_chemical_formula_sum 'Tc4 Os4 Au8'
_cell_length_a 7.4050
_cell_length_b 7.4050
_cell_length_c 5.2256
_cell_angle_alpha 90.00
_cell_angle_beta 90.00
_cell_angle_gamma 90.00
_symmetry_space_group_name_H-M 'I -4 2 d'
_symmetry_Int_Tables_number 122
_symmetry_space_group_name_Hall 'I -4 2bw'
loop_
_atom_site_label
_atom_site_type_symbol
_atom_site_fract_x
_atom_site_fract_y
_atom_site_fract_z
Tc1 Tc 0.0000 0.0000 0.0000
Os1 Os 0.0000 0.0000 0.5000
Au1 Au 0.2451 0.2500 0.6250

=====

(14)
# PBE Tc2OsAu, relaxed
# - E_form (meV per atom) = 227
# - volume (A^3/atom) = 15.358
data_Tc2OsAu
_chemical_formula_sum 'Tc6 Os3 Au3'
_cell_length_a 2.7678
_cell_length_b 2.7678
_cell_length_c 27.7783
_cell_angle_alpha 90.00
_cell_angle_beta 90.00
_cell_angle_gamma 120.00
_symmetry_space_group_name_H-M 'R 3 m'
_symmetry_Int_Tables_number 160
_symmetry_space_group_name_Hall 'R 3 -2"'
loop_
_atom_site_label
_atom_site_type_symbol
_atom_site_fract_x
_atom_site_fract_y
_atom_site_fract_z
Tc1 Tc 0.0000 0.0000 0.0000
Tc2 Tc 0.0000 0.0000 0.2555
Os1 Os 0.0000 0.0000 0.7442
Au1 Au 0.0000 0.0000 0.5005

=====

(15)
# PBE Tc2Os2Au, relaxed
# - E_form (meV per atom) = 310
# - volume (A^3/atom) = 15.903
data_Tc2Os2Au
_chemical_formula_sum 'Tc4 Os4 Au2'
_cell_length_a 7.6066
_cell_length_b 7.6066
_cell_length_c 2.7485
_cell_angle_alpha 90.00
_cell_angle_beta 90.00
_cell_angle_gamma 90.00
_symmetry_space_group_name_H-M 'P 4/m b m'
_symmetry_Int_Tables_number 127
_symmetry_space_group_name_Hall '-P 4 2ab'
loop_
_atom_site_label
_atom_site_type_symbol
_atom_site_fract_x
_atom_site_fract_y
_atom_site_fract_z
Tc1 Tc 0.1243 0.3757 0.0000
Os1 Os 0.1634 0.6634 0.5000
Au1 Au 0.0000 0.0000 0.0000

=====

(16)
# PBE Tc2OsAu, relaxed
# - E_form (meV per atom) = 356
# - volume (A^3/atom) = 15.110
data_Tc2OsAu
_chemical_formula_sum 'Tc4 Os2 Au2'
_cell_length_a 3.9177
_cell_length_b 3.9177
_cell_length_c 7.8754
_cell_angle_alpha 90.00
_cell_angle_beta 90.00
_cell_angle_gamma 90.00
_symmetry_space_group_name_H-M 'I -4 m 2'
_symmetry_Int_Tables_number 119
_symmetry_space_group_name_Hall 'I -4 -2'
loop_
_atom_site_label
_atom_site_type_symbol
_atom_site_fract_x
_atom_site_fract_y
_atom_site_fract_z
Tc1 Tc 0.0000 0.0000 0.0000
Tc2 Tc 0.0000 0.5000 0.2500
Os1 Os 0.0000 0.0000 0.5000
Au1 Au 0.0000 0.5000 0.7500

=====

(17)
# PBE TcOsAu2, relaxed
# - E_form (meV per atom) = 640
# - volume (A^3/atom) = 16.031
data_TcOsAu2
_chemical_formula_sum 'Tc2 Os2 Au4'
_cell_length_a 5.3828
_cell_length_b 8.3821
_cell_length_c 2.8424
_cell_angle_alpha 90.00
_cell_angle_beta 90.00
_cell_angle_gamma 90.00
_symmetry_space_group_name_H-M 'C m m m'
_symmetry_Int_Tables_number 65
_symmetry_space_group_name_Hall '-C 2 2'
loop_
_atom_site_label
_atom_site_type_symbol
_atom_site_fract_x
_atom_site_fract_y
_atom_site_fract_z
Tc1 Tc 0.0000 0.0000 0.0000
Os1 Os 0.0000 0.5000 0.0000
Au1 Au 0.2500 0.2500 0.5000

=====

(18)
# PBE Tc2OsAu, relaxed
# - E_form (meV per atom) = 306
# - volume (A^3/atom) = 15.280
data_Tc2OsAu
_chemical_formula_sum 'Tc4 Os2 Au2'
_cell_length_a 9.2583
_cell_length_b 2.8023
_cell_length_c 4.7895
_cell_angle_alpha 90.00
_cell_angle_beta 100.35
_cell_angle_gamma 90.00
_symmetry_space_group_name_H-M 'C 1 2/m 1'
_symmetry_Int_Tables_number 12
loop_
_symmetry_equiv_pos_as_xyz
'x,y,z'
'-x,-y,-z'
'-x,y,-z'
'x,-y,z'
'x+1/2,y+1/2,z'
'-x+1/2,-y+1/2,-z'
'-x+1/2,y+1/2,-z'
'x+1/2,-y+1/2,z'
loop_
_atom_site_label
_atom_site_type_symbol
_atom_site_fract_x
_atom_site_fract_y
_atom_site_fract_z
Tc1 Tc 0.2419 0.0000 0.2246
Os1 Os 0.0000 0.5000 0.0000
Au1 Au 0.0000 0.0000 0.5000

=====

(19)
# PBE Tc2OsAu, relaxed
# - E_form (meV per atom) = 537
# - volume (A^3/atom) = 15.712
data_Tc2OsAu
_chemical_formula_sum 'Tc2 Os1 Au1'
_cell_length_a 3.2495
_cell_length_b 3.2495
_cell_length_c 5.9519
_cell_angle_alpha 90.00
_cell_angle_beta 90.00
_cell_angle_gamma 90.00
_symmetry_space_group_name_H-M 'P 4 m m'
_symmetry_Int_Tables_number 99
loop_
_symmetry_equiv_pos_as_xyz
'x,y,z'
'-y,x,z'
'-x,-y,z'
'y,-x,z'
'-x,y,z'
'y,x,z'
'x,-y,z'
'-y,-x,z'
loop_
_atom_site_label
_atom_site_type_symbol
_atom_site_fract_x
_atom_site_fract_y
_atom_site_fract_z
Tc1 Tc 0.0000 0.0000 0.0000
Tc2 Tc 0.5000 0.5000 0.1968
Os1 Os 0.5000 0.5000 0.7585
Au1 Au 0.0000 0.0000 0.4798

=====

(20)
# PBE Ti2TcOsAu, relaxed
# - E_form (meV per atom) = 1750
# - volume (A^3/atom) = 21.750
data_Ti2TcOsAu
_chemical_formula_sum 'Ti2 Tc1 Os1 Au1'
_cell_length_a 4.7099
_cell_length_b 4.7099
_cell_length_c 4.9023
_cell_angle_alpha 90.00
_cell_angle_beta 90.00
_cell_angle_gamma 90.00
_symmetry_space_group_name_H-M 'P 4/m m m'
_symmetry_Int_Tables_number 123
_symmetry_space_group_name_Hall '-P 4 2'
loop_
_atom_site_label
_atom_site_type_symbol
_atom_site_fract_x
_atom_site_fract_y
_atom_site_fract_z
Ti1 Ti 0.0000 0.5000 0.0000
Tc1 Tc 0.0000 0.0000 0.5000
Os1 Os 0.5000 0.5000 0.5000
Au1 Au 0.5000 0.5000 0.0000